Entry 1:
VASP calculation (GGA-PBE) on a geometry-optimized Tb2SmNi9 structure.

Lattice parameters (Å, degrees): 8.6294 8.6294 8.6294 33.61 33.61 33.61
Closest atoms and distances in Å follow each position.
Fractional coordinates of all 12 atoms:
Tb  0.1392  0.1392  0.1392  12 Ni 2.86-3.08, 3 Tb 3.18
Tb  0.8608  0.8608  0.8608  12 Ni 2.86-3.08, 3 Tb 3.18
Sm  0.0000  0.0000  0.0000  18 Ni 2.88-3.20
Ni  0.0816  0.5826  0.5826  7 Ni 2.46-2.51
Ni  0.3330  0.3330  0.3330  6 Ni 2.46-2.48
Ni  0.4174  0.4174  0.9184  7 Ni 2.46-2.51
Ni  0.4174  0.9184  0.4174  7 Ni 2.46-2.51
Ni  0.5000  0.5000  0.5000  6 Ni 2.51
Ni  0.5826  0.0816  0.5826  7 Ni 2.46-2.51
Ni  0.5826  0.5826  0.0816  7 Ni 2.46-2.51
Ni  0.6670  0.6670  0.6670  6 Ni 2.46-2.48
Ni  0.9184  0.4174  0.4174  7 Ni 2.46-2.51

## Properties
E_form, eV per formula unit: -4.7
Crystal system: trigonal

---

Entry 2:
VASP calculation (GGA-PBE) on a geometry-optimized TbSmNi4 structure.

Lattice parameters (Å, degrees): 5.1059 5.1059 5.1059 60.00 60.00 60.00
Closest atoms and distances in Å follow each position.
Fractional coordinates of all 6 atoms:
Tb  0.0000  0.0000  0.0000  12 Ni 2.99, 4 Sm 3.13
Sm  0.2500  0.2500  0.2500  12 Ni 2.99, 4 Tb 3.13
Ni  0.1240  0.6253  0.6253  6 Ni 2.55-2.56
Ni  0.6253  0.1240  0.6253  6 Ni 2.55-2.56
Ni  0.6253  0.6253  0.1240  6 Ni 2.55-2.56
Ni  0.6253  0.6253  0.6253  6 Ni 2.55-2.56

## Properties
E_form, eV per formula unit: -2.4
Crystal system: cubic

---

> Which of these has the highest E_form?

TbSmNi4